Entry 1:
Material: GeSb3H
Method: DFT, PBE-GGA
State: relaxed

Lattice parameters (Å, degrees): 5.410 5.410 5.410 90.00 90.00 90.00
Fractional coordinates of all 5 atoms:
Sb  0.000  0.500  0.000
Sb  0.000  0.000  0.500
Sb  0.500  0.000  0.000
Ge  0.000  0.000  0.000
H  0.500  0.500  0.500

Output
Total energy, eV/atom: -2.963
Mass density, kg/m3: 4604
D(E_F), states/eV/atom: 0.6306
Energy above the most stable polymorph in this dataset, meV per atom: 604



Entry 2:
Material: Pm4Pr2NdSm
Method: DFT, PBE-GGA
State: relaxed

Lattice parameters (Å, degrees): 3.674 6.345 12.189 79.70 90.00 90.00
Fractional coordinates of all 8 atoms:
Pm  0.000  0.749  0.750
Pm  0.000  0.251  0.250
Pm  0.500  0.749  0.251
Pm  0.500  0.251  0.749
Pr  0.000  0.000  0.000
Pr  0.500  0.000  0.500
Nd  0.500  0.500  0.000
Sm  0.000  0.500  0.500

Output
Total energy, eV/atom: -4.741
Mass density, kg/m3: 6869
D(E_F), states/eV/atom: 1.6155



Entry 3:
Material: FeB3Sb
Method: DFT, PBE-GGA
State: relaxed

Lattice parameters (Å, degrees): 4.402 4.402 4.402 90.00 90.00 90.00
Fractional coordinates of all 5 atoms:
Sb  0.000  0.000  0.000
B  0.000  0.500  0.000
B  0.000  0.000  0.500
B  0.500  0.000  0.000
Fe  0.500  0.500  0.500

Output
Raw formation energy, eV/atom: 2.77
Total energy, eV/atom: -3.756
Mass density, kg/m3: 4090
D(E_F), states/eV/atom: 1.9842
Energy above the most stable polymorph in this dataset, meV per atom: 1650



Entry 4:
Material: Ce2SnGe3
Method: DFT, PBE-GGA
State: relaxed

Lattice parameters (Å, degrees): 4.842 6.149 6.469 118.37 111.98 90.00
Fractional coordinates of all 6 atoms:
Ce  0.680  0.180  0.361
Ce  0.320  0.820  0.639
Sn  0.000  0.500  0.000
Ge  0.349  0.349  0.699
Ge  0.000  0.000  0.000
Ge  0.651  0.651  0.301

Output
Total energy, eV/atom: -5.258
Mass density, kg/m3: 6680
D(E_F), states/eV/atom: 1.4471



Entry 5:
Material: LaTa2P2
Method: DFT, PBE-GGA
State: relaxed

Lattice parameters (Å, degrees): 3.958 3.958 6.965 73.49 73.49 90.00
Fractional coordinates of all 5 atoms:
P  0.379  0.379  0.242
P  0.621  0.621  0.758
La  0.000  0.000  0.000
Ta  0.750  0.250  0.500
Ta  0.250  0.750  0.500

Output
Total energy, eV/atom: -8.772
Mass density, kg/m3: 9352
D(E_F), states/eV/atom: 0.5568
Energy above the most stable polymorph in this dataset, meV per atom: 0



Entry 6:
Material: Sm2PaPb
Method: DFT, PBE-GGA
State: relaxed

Lattice parameters (Å, degrees): 3.471 3.471 12.205 81.83 81.83 60.00
Fractional coordinates of all 4 atoms:
Pb  0.000  0.000  0.000
Pa  0.500  0.500  0.500
Sm  0.090  0.090  0.729
Sm  0.910  0.910  0.271

Output
Total energy, eV/atom: -5.511
Mass density, kg/m3: 9771
D(E_F), states/eV/atom: 1.3944
Energy above the most stable polymorph in this dataset, meV per atom: 210



Entry 7:
Material: PmAl8Ni4
Method: DFT, PBE-GGA
State: relaxed

Lattice parameters (Å, degrees): 5.121 6.627 6.627 81.42 67.27 67.27
Fractional coordinates of all 13 atoms:
Pm  0.000  0.000  0.000
Al  0.000  0.345  0.655
Al  0.000  0.655  0.345
Al  0.345  0.655  0.655
Al  0.655  0.345  0.345
Al  0.500  0.776  0.224
Al  0.500  0.224  0.776
Al  0.276  0.224  0.224
Al  0.724  0.776  0.776
Ni  0.000  0.000  0.500
Ni  0.500  0.000  0.500
Ni  0.000  0.500  0.000
Ni  0.500  0.500  0.000

Output
Total energy, eV/atom: -5.031
Mass density, kg/m3: 5169
D(E_F), states/eV/atom: 0.3726



Entry 8:
Material: ScBe2Co
Method: DFT, PBE-GGA
State: relaxed

Lattice parameters (Å, degrees): 2.831 2.818 6.581 64.62 90.00 90.00
Fractional coordinates of all 4 atoms:
Sc  0.500  0.750  0.750
Be  0.000  0.930  0.070
Be  0.000  0.570  0.430
Co  0.500  0.250  0.250

Output
Total energy, eV/atom: -5.373
Mass density, kg/m3: 4269
D(E_F), states/eV/atom: 0.6517
Energy above the most stable polymorph in this dataset, meV per atom: 52



Entry 9:
Material: Cs2TaTiCo
Method: DFT, PBE-GGA
State: relaxed

Lattice parameters (Å, degrees): 6.741 4.082 6.741 90.00 90.00 90.00
Fractional coordinates of all 5 atoms:
Cs  0.000  0.000  0.500
Cs  0.500  0.000  0.000
Ti  0.000  0.500  0.000
Co  0.000  0.000  0.000
Ta  0.500  0.500  0.500

Output
Total energy, eV/atom: -3.744
Mass density, kg/m3: 4955
D(E_F), states/eV/atom: 1.5120



Entry 10:
Material: Rb8Tl11
Method: DFT, PBE-GGA
State: relaxed

Lattice parameters (Å, degrees): 18.883 18.883 18.883 32.36 32.36 32.36
Fractional coordinates of all 38 atoms:
Tl  0.575  0.994  0.273
Tl  0.994  0.273  0.575
Tl  0.273  0.575  0.994
Tl  0.506  0.925  0.227
Tl  0.227  0.506  0.925
Tl  0.925  0.227  0.506
Tl  0.425  0.006  0.727
Tl  0.006  0.727  0.425
Tl  0.727  0.425  0.006
Tl  0.494  0.075  0.773
Tl  0.773  0.494  0.075
Tl  0.075  0.773  0.494
Tl  0.539  0.750  0.961
Tl  0.750  0.961  0.539
Tl  0.961  0.539  0.750
Tl  0.461  0.250  0.039
Tl  0.250  0.039  0.461
Tl  0.039  0.461  0.250
Tl  0.801  0.801  0.801
Tl  0.699  0.699  0.699
Tl  0.199  0.199  0.199
Tl  0.301  0.301  0.301
Rb  0.346  0.912  0.676
Rb  0.912  0.676  0.346
Rb  0.676  0.346  0.912
Rb  0.588  0.154  0.824
Rb  0.824  0.588  0.154
Rb  0.154  0.824  0.588
Rb  0.654  0.088  0.324
Rb  0.088  0.324  0.654
Rb  0.324  0.654  0.088
Rb  0.412  0.846  0.176
Rb  0.176  0.412  0.846
Rb  0.846  0.176  0.412
Rb  0.921  0.921  0.921
Rb  0.579  0.579  0.579
Rb  0.079  0.079  0.079
Rb  0.421  0.421  0.421

Output
Total energy, eV/atom: -1.905
Mass density, kg/m3: 5679
D(E_F), states/eV/atom: 0.2966



Entry 11:
Material: Ac2HgPt
Method: DFT, PBE-GGA
State: relaxed

Lattice parameters (Å, degrees): 4.483 4.483 7.963 90.00 90.00 120.00
Fractional coordinates of all 4 atoms:
Ac  0.667  0.833  0.794
Ac  0.333  0.167  0.206
Hg  0.000  0.500  0.500
Pt  0.000  0.500  0.000

Output
Total energy, eV/atom: -4.461
Mass density, kg/m3: 10179
D(E_F), states/eV/atom: 0.4495
Energy above the most stable polymorph in this dataset, meV per atom: 0



Entry 12:
Material: Ti7P2N2
Method: DFT, PBE-GGA
State: relaxed

Lattice parameters (Å, degrees): 2.999 7.552 7.552 60.44 78.55 78.55
Fractional coordinates of all 11 atoms:
Ti  0.816  0.086  0.283
Ti  0.846  0.402  0.905
Ti  0.500  0.011  0.989
Ti  0.627  0.472  0.274
Ti  0.373  0.726  0.528
Ti  0.184  0.717  0.914
Ti  0.154  0.095  0.598
P  0.000  0.754  0.246
P  0.500  0.344  0.656
N  0.751  0.873  0.626
N  0.249  0.374  0.127

Output
Raw formation energy, eV/atom: -0.94
Total energy, eV/atom: -8.457
Mass density, kg/m3: 4874
D(E_F), states/eV/atom: 0.7615



Entry 13:
Material: NiOsS2
Method: DFT, PBE-GGA
State: relaxed

Lattice parameters (Å, degrees): 4.178 4.178 4.178 60.00 60.00 60.00
Fractional coordinates of all 4 atoms:
Ni  0.000  0.000  0.000
S  0.250  0.250  0.250
S  0.750  0.750  0.750
Os  0.500  0.500  0.500

Output
Raw formation energy, eV/atom: 0.38
Total energy, eV/atom: -5.934
Mass density, kg/m3: 10083
D(E_F), states/eV/atom: 0.3720
Energy above the most stable polymorph in this dataset, meV per atom: 459



Entry 14:
Material: Sc2SiOs
Method: DFT, PBE-GGA
State: relaxed

Lattice parameters (Å, degrees): 3.389 4.466 4.466 90.00 90.00 90.00
Fractional coordinates of all 4 atoms:
Sc  0.000  0.000  0.500
Sc  0.000  0.500  0.000
Si  0.500  0.000  0.000
Os  0.500  0.500  0.500

Output
Raw formation energy, eV/atom: -0.55
Total energy, eV/atom: -7.881
Mass density, kg/m3: 7571
D(E_F), states/eV/atom: 0.1661



Entry 15:
Material: CrIr2
Method: DFT, PBE-GGA
State: relaxed

Lattice parameters (Å, degrees): 4.697 4.265 8.138 90.00 90.00 90.00
Fractional coordinates of all 12 atoms:
Cr  0.171  0.250  0.837
Cr  0.329  0.750  0.337
Cr  0.671  0.250  0.663
Cr  0.829  0.750  0.163
Ir  0.155  0.250  0.171
Ir  0.169  0.250  0.505
Ir  0.331  0.750  0.005
Ir  0.345  0.750  0.671
Ir  0.655  0.250  0.329
Ir  0.669  0.250  0.995
Ir  0.831  0.750  0.495
Ir  0.845  0.750  0.829

Output
Total energy, eV/atom: -9.346
Mass density, kg/m3: 17781
D(E_F), states/eV/atom: 0.6464